Computed, not measured: a relaxed TmReSn crystal at the PBE-GGA level of DFT.

CIF file:
```
data_TmReSn
_space_group_name_H-M_alt 'F -4 3 m'
_space_group_IT_number 216
_space_group_name_Hall 'F -4 2 3'
_cell_length_a 6.710
_cell_length_b 6.710
_cell_length_c 6.710
_cell_angle_alpha 90.00
_cell_angle_beta 90.00
_cell_angle_gamma 90.00
loop_
_atom_site_label
_atom_site_type_symbol
_atom_site_fract_x
_atom_site_fract_y
_atom_site_fract_z
Tm1 Tm 0.000 0.000 0.000
Re1 Re 0.250 0.250 0.750
Sn1 Sn 0.250 0.250 0.250
```

Computed, not measured: a relaxed CsTe5Os3 crystal at the PBE-GGA level of DFT.

CIF file:
```
data_CsTe5Os3
_space_group_name_H-M_alt 'P 6/m m m'
_space_group_IT_number 191
_space_group_name_Hall '-P 6 2'
_cell_length_a 6.0546
_cell_length_b 6.0546
_cell_length_c 8.2456
_cell_angle_alpha 90.00
_cell_angle_beta 90.00
_cell_angle_gamma 120.00
loop_
_atom_site_label
_atom_site_type_symbol
_atom_site_fract_x
_atom_site_fract_y
_atom_site_fract_z
Cs1 Cs 0.0000 0.0000 0.0000
Te1 Te 0.0000 0.0000 0.5000
Te2 Te 0.3333 0.6667 0.2596
Os1 Os 0.0000 0.5000 0.5000
```

Computed, not measured: a relaxed YAuSO crystal at the PBE-GGA level of DFT.

CIF file:
```
data_YAuSO
_space_group_name_H-M_alt 'P 4/n m m'
_space_group_IT_number 129
_cell_length_a 3.924
_cell_length_b 3.924
_cell_length_c 8.937
_cell_angle_alpha 90.00
_cell_angle_beta 90.00
_cell_angle_gamma 90.00
loop_
_space_group_symop_operation_xyz
'x,y,z'
'-x,-y,-z'
'-y+1/2,x,z'
'y+1/2,-x,-z'
'-x+1/2,-y+1/2,z'
'x+1/2,y+1/2,-z'
'y,-x+1/2,z'
'-y,x+1/2,-z'
'x+1/2,-y,-z'
'-x+1/2,y,z'
'-y,-x,-z'
'y,x,z'
'-x,y+1/2,-z'
'x,-y+1/2,z'
'y+1/2,x+1/2,-z'
'-y+1/2,-x+1/2,z'
loop_
_atom_site_label
_atom_site_type_symbol
_atom_site_fract_x
_atom_site_fract_y
_atom_site_fract_z
Y1 Y 0.250 0.250 0.126
Au1 Au 0.250 0.750 0.500
S1 S 0.250 0.250 0.715
O1 O 0.250 0.750 0.000
```

Computed properties:
polymorph energy (0 for the lowest one): 173 meV/atom

Computed, not measured: a relaxed Pr3Zr3Te2Ir crystal at the PBE-GGA level of DFT.

CIF file:
```
data_Pr3Zr3Te2Ir
_space_group_name_H-M_alt 'P -6 2 m'
_space_group_IT_number 189
_space_group_name_Hall 'P -6 -2'
_cell_length_a 8.2149
_cell_length_b 8.2149
_cell_length_c 4.0500
_cell_angle_alpha 90.00
_cell_angle_beta 90.00
_cell_angle_gamma 120.00
loop_
_atom_site_label
_atom_site_type_symbol
_atom_site_fract_x
_atom_site_fract_y
_atom_site_fract_z
Pr1 Pr 0.0000 0.4042 0.0000
Zr1 Zr 0.0000 0.7719 0.5000
Te1 Te 0.3333 0.6667 0.5000
Ir1 Ir 0.0000 0.0000 0.0000
```

Computed properties:
polymorph energy (0 for the lowest one): 0 meV/atom

Computed, not measured: a relaxed Er2Sb crystal at the PBE-GGA level of DFT.

CIF file:
```
data_Er2Sb
_space_group_name_H-M_alt 'F m -3 m'
_space_group_IT_number 225
_space_group_name_Hall '-F 4 2 3'
_cell_length_a 7.094
_cell_length_b 7.094
_cell_length_c 7.094
_cell_angle_alpha 90.00
_cell_angle_beta 90.00
_cell_angle_gamma 90.00
loop_
_atom_site_label
_atom_site_type_symbol
_atom_site_fract_x
_atom_site_fract_y
_atom_site_fract_z
Er1 Er 0.250 0.250 0.250
Sb1 Sb 0.000 0.000 0.000
```

Computed, not measured: a relaxed Zr4CuAsC2 crystal at the PBE-GGA level of DFT.

CIF file:
```
data_Zr4CuAsC2
_space_group_name_H-M_alt 'P -6 m 2'
_space_group_IT_number 187
_space_group_name_Hall 'P -6 2'
_cell_length_a 3.4160
_cell_length_b 3.4160
_cell_length_c 12.9480
_cell_angle_alpha 90.00
_cell_angle_beta 90.00
_cell_angle_gamma 120.00
loop_
_atom_site_label
_atom_site_type_symbol
_atom_site_fract_x
_atom_site_fract_y
_atom_site_fract_z
Zr1 Zr 0.0000 0.0000 0.1500
Zr2 Zr 0.6667 0.3333 0.3469
Cu1 Cu 0.0000 0.0000 0.5000
As1 As 0.6667 0.3333 0.0000
C1 C 0.3333 0.6667 0.2485
```

Computed, not measured: a relaxed DyTlPO crystal at the PBE-GGA level of DFT.

CIF file:
```
data_DyTlPO
_space_group_name_H-M_alt 'P 4/n m m'
_space_group_IT_number 129
_cell_length_a 5.702
_cell_length_b 5.702
_cell_length_c 4.964
_cell_angle_alpha 90.00
_cell_angle_beta 90.00
_cell_angle_gamma 90.00
loop_
_space_group_symop_operation_xyz
'x,y,z'
'-x,-y,-z'
'-y+1/2,x,z'
'y+1/2,-x,-z'
'-x+1/2,-y+1/2,z'
'x+1/2,y+1/2,-z'
'y,-x+1/2,z'
'-y,x+1/2,-z'
'x+1/2,-y,-z'
'-x+1/2,y,z'
'-y,-x,-z'
'y,x,z'
'-x,y+1/2,-z'
'x,-y+1/2,z'
'y+1/2,x+1/2,-z'
'-y+1/2,-x+1/2,z'
loop_
_atom_site_label
_atom_site_type_symbol
_atom_site_fract_x
_atom_site_fract_y
_atom_site_fract_z
Dy1 Dy 0.250 0.750 0.000
Tl1 Tl 0.250 0.250 0.499
P1 P 0.250 0.250 0.999
O1 O 0.250 0.750 0.500
```

Computed properties:
polymorph energy (0 for the lowest one): 172 meV/atom

Computed, not measured: a relaxed CoMoAsAu crystal at the PBE-GGA level of DFT.

CIF file:
```
data_CoMoAsAu
_space_group_name_H-M_alt 'F -4 3 m'
_space_group_IT_number 216
_space_group_name_Hall 'F -4 2 3'
_cell_length_a 6.206
_cell_length_b 6.206
_cell_length_c 6.206
_cell_angle_alpha 90.00
_cell_angle_beta 90.00
_cell_angle_gamma 90.00
loop_
_atom_site_label
_atom_site_type_symbol
_atom_site_fract_x
_atom_site_fract_y
_atom_site_fract_z
Co1 Co 0.000 0.000 0.000
Mo1 Mo 0.000 0.000 0.500
As1 As 0.250 0.250 0.750
Au1 Au 0.250 0.250 0.250
```

Computed properties:
polymorph energy (0 for the lowest one): 0 meV/atom

V in Å³/f.u., matching the order above: 76; 262; 69; 237; 89; 131; 81; 60
Energy in eV per cell, matching the order above: -70.944; -49.024; -51.830; -62.072; -58.607; -66.389; -43.908; -98.926